The following is a PBE with a Hubbard U calculation of a relaxed PuVO6 crystal, from Alexandria.

Cell: 5.3996 5.4189 5.4247 Å, 60.71 89.99 60.66°
Closest atoms and distances in Å follow each position.
Atoms (fractional coordinates):
Pu1 0.0000 0.0000 0.0000  6 O 1.95-2.13
V1 0.5000 0.0000 0.5000  6 O 1.79-1.94
O1 0.1897 0.0352 0.2762  1 V 1.94, 1 Pu 1.95
O2 0.2760 0.0367 0.7743  1 V 1.94, 1 Pu 1.95
O3 0.3065 0.4569 0.2706  1 V 1.79
O4 0.6935 0.5431 0.7294  1 V 1.79
O5 0.7240 0.9633 0.2257  1 V 1.94, 1 Pu 1.95
O6 0.8103 0.9648 0.7238  1 V 1.94, 1 Pu 1.95

Summary:
- E (eV for the cell shown) = -66.8
- symmetry = P-1, No. 2